No. 1
First-principles (PBE) data for a relaxed structure of CsKW, as listed in OQMD via LeMat-Bulk.

Cell and atoms, written as POSCAR:
```
CsKW
1.0
0.000 4.476 4.476
4.476 0.000 4.476
4.476 4.476 0.000
Cs K W
1 1 1
direct
0.000 0.000 0.000 Cs
0.500 0.500 0.500 K
0.250 0.250 0.250 W
```

As for the energy: -2.93 eV/atom. The calculation puts the volume at 179 Å³ per cell.

No. 2
First-principles (PBE) data for a relaxed structure of CsK2W6, as listed in OQMD via LeMat-Bulk.

Cell and atoms, written as POSCAR:
```
CsK2W6
1.0
8.648 0.000 0.000
-4.324 7.489 0.000
0.000 0.000 2.736
Cs K W
1 2 6
direct
0.000 0.000 0.000 Cs
0.333 0.667 0.500 K
0.667 0.333 0.500 K
0.000 0.343 0.500 W
0.000 0.661 0.000 W
0.339 0.339 0.000 W
0.343 0.000 0.500 W
0.657 0.657 0.500 W
0.661 0.000 0.000 W
```

As for the energy: -6.95 eV/atom. The calculation puts the volume at 177 Å³ per cell.

No. 3
First-principles (PBE) data for a relaxed structure of CsKZn, as listed in OQMD via LeMat-Bulk.

Cell and atoms, written as POSCAR:
```
CsKZn
1.0
0.000 4.516 4.516
4.516 0.000 4.516
4.516 4.516 0.000
Cs K Zn
1 1 1
direct
0.000 0.000 0.000 Cs
0.750 0.750 0.750 K
0.250 0.250 0.250 Zn
```

As for the energy: -0.73 eV/atom. The calculation puts the volume at 184 Å³ per cell.

No. 4
First-principles (PBE) data for a relaxed structure of CsKZn, as listed in OQMD via LeMat-Bulk.

Cell and atoms, written as POSCAR:
```
CsKZn
1.0
0.000 4.490 4.490
4.490 0.000 4.490
4.490 4.490 0.000
Cs K Zn
1 1 1
direct
0.000 0.000 0.000 Cs
0.250 0.250 0.250 K
0.500 0.500 0.500 Zn
```

As for the energy: -0.75 eV/atom. The calculation puts the volume at 181 Å³ per cell.

What is the volume in the first record? 179 Å³ per cell